Version one
GaSiS3 after structural relaxation, computed with PBE-GGA.

Summary:
Spin magnetization   0.0000 μB/atom

Structure (CIF):
```
data_GaSiS3
_chemical_formula_sum 'Ga4 Si4 S12'
_cell_length_a 14.5707
_cell_length_b 3.4395
_cell_length_c 9.9732
_cell_angle_alpha 90.00
_cell_angle_beta 98.44
_cell_angle_gamma 90.00
_symmetry_space_group_name_H-M 'C 1 2/m 1'
_symmetry_Int_Tables_number 12
loop_
_symmetry_equiv_pos_as_xyz
'x,y,z'
'-x,-y,-z'
'-x,y,-z'
'x,-y,z'
'x+1/2,y+1/2,z'
'-x+1/2,-y+1/2,-z'
'-x+1/2,y+1/2,-z'
'x+1/2,-y+1/2,z'
loop_
_atom_site_label
_atom_site_fract_x
_atom_site_fract_y
_atom_site_fract_z
_atom_site_occupancy
Ga1 0.0740 0.0000 0.4606 1
Si1 0.0864 0.5000 0.7691 1
S1 0.0631 0.5000 0.2805 1
S2 0.1283 0.0000 0.8972 1
S3 0.1658 0.5000 0.6017 1
```

---

Version two
GaSiS3 after structural relaxation, computed with PBE-GGA.

Summary:
Spin magnetization   0.0000 μB/atom

Structure (CIF):
```
data_GaSiS3
_chemical_formula_sum 'Ga1 Si1 S3'
_cell_length_a 4.5532
_cell_length_b 4.5532
_cell_length_c 4.5532
_cell_angle_alpha 90.00
_cell_angle_beta 90.00
_cell_angle_gamma 90.00
_symmetry_space_group_name_H-M 'P m -3 m'
_symmetry_Int_Tables_number 221
_symmetry_space_group_name_Hall '-P 4 2 3'
loop_
_atom_site_label
_atom_site_fract_x
_atom_site_fract_y
_atom_site_fract_z
_atom_site_occupancy
Ga1 0.0000 0.0000 0.0000 1
Si1 0.5000 0.5000 0.5000 1
S1 0.0000 0.5000 0.5000 1
```

---

Energies relative to the most stable structure are version one 0.0; version two 60.1, reported in kJ/mol of atoms.